Computed, not measured: a geometry-optimized BaYOsO6 structure at the PBE level of DFT.

Its volume is 17.2 Å³/atom. The calculation puts the density of states at the Fermi level at 5.241 states/eV per cell. The value obtained for the uncorrected formation energy is -2119.4 meV per atom. The space-group type is P312. As for the density: 5.51 g cm⁻³.

```
BaYOsO6
1.0
5.624 0.000 0.000
-2.812 4.870 0.000
0.000 0.000 5.640
Ba Y Os O
1 1 1 6
Direct
0.000 0.000 0.000
0.333 0.667 0.500
0.667 0.333 0.500
0.398 0.046 0.695
0.398 0.353 0.305
0.647 0.046 0.305
0.647 0.602 0.695
0.954 0.353 0.695
0.954 0.602 0.305
```